No. 1
Here is a PBEsol-optimized structure of HfMgZnRh2 from the Alexandria database. Energies are from meta-GGA SCAN.

a b c (Å): 4.328 4.529 4.529
angles (deg): 90.00 90.00 90.00
Fractional coordinates of all 5 atoms:
Zn: 0.000 0.000 0.000
Mg: 0.500 0.000 0.000
Rh: 0.000 0.500 0.000
Rh: 0.000 0.000 0.500
Hf: 0.500 0.500 0.500

## Properties
The crystal system is tetragonal. The value obtained for the total DFT energy (no corrections) is -29.465 eV per atom. The value obtained for the magnetic moment is 0.000 μB per atom. The calculated volume is 88.8 Å³ per cell. The calculated formation energy comes out at 0.2759 eV/atom.

=====

No. 2
Here is a PBEsol-optimized structure of MgH12SO9 from the Alexandria database. Energies are from meta-GGA SCAN.

a b c (Å): 5.858 5.858 5.858
angles (deg): 95.70 95.70 95.70
Fractional coordinates of all 23 atoms:
H: 0.619 0.131 0.729
H: 0.530 0.019 0.951
O: 0.072 0.878 0.670
H: 0.729 0.619 0.131
H: 0.951 0.530 0.019
Mg: 0.992 0.992 0.992
S: 0.493 0.493 0.493
H: 0.403 0.063 0.270
O: 0.947 0.134 0.332
H: 0.181 0.371 0.793
O: 0.240 0.472 0.551
H: 0.371 0.793 0.181
O: 0.332 0.947 0.134
O: 0.551 0.240 0.472
O: 0.134 0.332 0.947
O: 0.472 0.551 0.240
H: 0.063 0.270 0.403
O: 0.878 0.670 0.072
H: 0.019 0.951 0.530
H: 0.270 0.403 0.063
H: 0.131 0.729 0.619
O: 0.670 0.072 0.878
H: 0.793 0.181 0.371

## Properties
The crystal system is trigonal. The value obtained for the total DFT energy (no corrections) is -6.172 eV per atom. The value obtained for the magnetic moment is 0.000 μB per atom. The calculated volume is 197.8 Å³ per cell.

=====

No. 3
Here is a PBEsol-optimized structure of MgNi4O8 from the Alexandria database. Energies are from meta-GGA SCAN.

a b c (Å): 5.642 5.642 5.839
angles (deg): 61.11 61.11 60.00
Last column: magnetic moment on the atom in μB.
Fractional coordinates of all 13 atoms:
O: 0.245 0.716 0.795  0.06
O: 0.245 0.245 0.795  0.06
O: 0.269 0.269 0.194  0.00
O: 0.284 0.755 0.205  0.06
Ni: 0.500 0.000 0.000  -0.04
O: 0.716 0.245 0.795  0.06
O: 0.755 0.284 0.205  0.06
Ni: 0.000 0.000 0.000  1.70
O: 0.731 0.731 0.806  0.00
Ni: 0.000 0.500 0.000  -0.04
O: 0.755 0.755 0.205  0.06
Ni: 0.500 0.500 0.000  -0.04
Mg: 0.500 0.500 0.500  0.01

## Properties
The crystal system is trigonal. The value obtained for the total DFT energy (no corrections) is -10.590 eV per atom. The value obtained for the magnetic moment is 0.155 μB per atom. As for the uncorrected formation energy: -18.16 eV per formula unit. The calculated volume is 133.6 Å³ per cell.

=====

No. 4
Here is a PBEsol-optimized structure of HgGeTe2C from the Alexandria database. Energies are from meta-GGA SCAN.

a b c (Å): 4.428 4.907 4.907
angles (deg): 90.00 90.00 90.00
Fractional coordinates of all 5 atoms:
C: 0.000 0.000 0.000
Ge: 0.500 0.500 0.500
Hg: 0.500 0.000 0.000
Te: 0.000 0.000 0.500
Te: 0.000 0.500 0.000

## Properties
The crystal system is tetragonal. The value obtained for the total DFT energy (no corrections) is -33.336 eV per atom. The value obtained for the magnetic moment is 0.000 μB per atom. As for the uncorrected formation energy: 5.18 eV per formula unit. The calculated volume is 106.6 Å³ per cell.

=====

No. 5
Here is a PBEsol-optimized structure of SnRhO3 from the Alexandria database. Energies are from meta-GGA SCAN.

a b c (Å): 3.903 3.903 3.903
angles (deg): 90.00 90.00 90.00
Fractional coordinates of all 5 atoms:
O: 0.000 0.000 0.500
Rh: 0.000 0.000 0.000
O: 0.500 0.000 0.000
Sn: 0.500 0.500 0.500
O: 0.000 0.500 0.000

## Properties
The crystal system is cubic. The value obtained for the total DFT energy (no corrections) is -18.430 eV per atom. The value obtained for the magnetic moment is 0.000 μB per atom. As for the uncorrected formation energy: -3.76 eV per formula unit. The calculated volume is 59.4 Å³ per cell.

=====

No. 6
Here is a PBEsol-optimized structure of OsPtPb2 from the Alexandria database. Energies are from meta-GGA SCAN.

a b c (Å): 4.769 4.769 4.769
angles (deg): 60.00 60.00 60.00
Fractional coordinates of all 4 atoms:
Pb: 0.750 0.750 0.750
Pb: 0.250 0.250 0.250
Os: 0.000 0.000 0.000
Pt: 0.500 0.500 0.500

## Properties
The crystal system is cubic. The value obtained for the total DFT energy (no corrections) is -72.559 eV per atom. The value obtained for the magnetic moment is 0.000 μB per atom. The calculated volume is 76.7 Å³ per cell. The calculated formation energy comes out at 0.8501 eV/atom.

=====

No. 7
Here is a PBEsol-optimized structure of Cu3BiAs from the Alexandria database. Energies are from meta-GGA SCAN.

a b c (Å): 4.846 4.846 4.846
angles (deg): 90.00 90.00 90.00
Fractional coordinates of all 5 atoms:
Bi: 0.000 0.000 0.000
Cu: 0.500 0.000 0.000
Cu: 0.000 0.000 0.500
As: 0.500 0.500 0.500
Cu: 0.000 0.500 0.000

## Properties
The crystal system is cubic. The value obtained for the total DFT energy (no corrections) is -27.713 eV per atom. The value obtained for the magnetic moment is 0.000 μB per atom. The calculated volume is 113.8 Å³ per cell. The calculated formation energy comes out at 1.1605 eV/atom.

=====

No. 8
Here is a PBEsol-optimized structure of RbGa2Au2 from the Alexandria database. Energies are from meta-GGA SCAN.

a b c (Å): 4.581 4.581 6.315
angles (deg): 111.26 111.26 90.00
Fractional coordinates of all 5 atoms:
Ga: 0.250 0.750 0.500
Rb: 0.000 0.000 0.000
Au: 0.631 0.631 0.262
Au: 0.369 0.369 0.738
Ga: 0.750 0.250 0.500

## Properties
The crystal system is tetragonal. The value obtained for the total DFT energy (no corrections) is -38.691 eV per atom. The value obtained for the magnetic moment is 0.000 μB per atom. The calculated volume is 113.8 Å³ per cell. The calculated formation energy comes out at -0.3414 eV/atom.

=====

No. 9
Here is a PBEsol-optimized structure of Zn2NiPb from the Alexandria database. Energies are from meta-GGA SCAN.

a b c (Å): 2.991 4.616 5.553
angles (deg): 114.56 105.63 90.00
Fractional coordinates of all 4 atoms:
Zn: 0.211 0.211 0.421
Ni: 0.500 0.000 0.000
Zn: 0.789 0.789 0.579
Pb: 0.000 0.500 0.000

## Properties
The crystal system is orthorhombic. The value obtained for the total DFT energy (no corrections) is -29.502 eV per atom. The value obtained for the magnetic moment is 0.000 μB per atom. The calculated volume is 66.6 Å³ per cell. The calculated formation energy comes out at 0.2437 eV/atom.

=====

No. 10
Here is a PBEsol-optimized structure of ZrAs2Pb from the Alexandria database. Energies are from meta-GGA SCAN.

a b c (Å): 3.610 4.792 4.792
angles (deg): 90.00 90.00 90.00
Fractional coordinates of all 4 atoms:
As: 0.000 0.000 0.500
Zr: 0.500 0.000 0.000
Pb: 0.500 0.500 0.500
As: 0.000 0.500 0.000

## Properties
The crystal system is tetragonal. The value obtained for the total DFT energy (no corrections) is -36.875 eV per atom. The value obtained for the magnetic moment is 0.000 μB per atom. The calculated volume is 82.9 Å³ per cell. The calculated formation energy comes out at -0.1598 eV/atom.

=====

No. 11
Here is a PBEsol-optimized structure of LiZr from the Alexandria database. Energies are from meta-GGA SCAN.

a b c (Å): 4.251 4.251 5.536
angles (deg): 90.00 90.00 120.00
Fractional coordinates of all 4 atoms:
Li: 0.667 0.333 0.750
Zr: 0.000 0.000 0.500
Zr: 0.000 0.000 0.000
Li: 0.333 0.667 0.250

## Properties
The crystal system is hexagonal. The value obtained for the total DFT energy (no corrections) is -15.594 eV per atom. The value obtained for the magnetic moment is 0.000 μB per atom. The calculated volume is 86.7 Å³ per cell. The calculated formation energy comes out at 0.9505 eV/atom.

=====

No. 12
Here is a PBEsol-optimized structure of BeMoSe from the Alexandria database. Energies are from meta-GGA SCAN.

a b c (Å): 2.796 2.796 6.096
angles (deg): 99.44 99.44 106.56
Fractional coordinates of all 3 atoms:
Se: 0.331 0.331 0.662
Be: 0.012 0.012 0.024
Mo: 0.657 0.657 0.314

## Properties
The crystal system is orthorhombic. The value obtained for the total DFT energy (no corrections) is -19.209 eV per atom. The value obtained for the magnetic moment is 0.002 μB per atom. As for the uncorrected formation energy: 1.69 eV per formula unit. The calculated volume is 43.9 Å³ per cell.

=====

No. 13
Here is a PBEsol-optimized structure of ZnTcAs from the Alexandria database. Energies are from meta-GGA SCAN.

a b c (Å): 4.114 4.114 4.114
angles (deg): 60.00 60.00 60.00
Last column: magnetic moment on the atom in μB.
Fractional coordinates of all 3 atoms:
Zn: 0.750 0.750 0.750  -0.01
As: 0.000 0.000 0.000  0.01
Tc: 0.500 0.500 0.500  0.13

## Properties
The crystal system is cubic. The value obtained for the total DFT energy (no corrections) is -22.140 eV per atom. The value obtained for the magnetic moment is 0.048 μB per atom. The calculated volume is 49.2 Å³ per cell. The calculated formation energy comes out at 0.7824 eV/atom.

=====

No. 14
Here is a PBEsol-optimized structure of As2OsSe from the Alexandria database. Energies are from meta-GGA SCAN.

a b c (Å): 2.915 2.915 8.343
angles (deg): 90.00 90.00 90.00
Fractional coordinates of all 4 atoms:
As: 0.500 0.500 0.300
Os: 0.000 0.000 0.500
As: 0.000 0.000 0.008
Se: 0.500 0.500 0.692

## Properties
The crystal system is tetragonal. The value obtained for the total DFT energy (no corrections) is -32.641 eV per atom. The value obtained for the magnetic moment is 0.000 μB per atom. As for the uncorrected formation energy: 1.78 eV per formula unit. The calculated volume is 70.9 Å³ per cell.

=====

No. 15
Here is a PBEsol-optimized structure of SbRh2W from the Alexandria database. Energies are from meta-GGA SCAN.

a b c (Å): 4.041 3.958 3.885
angles (deg): 90.00 90.00 90.00
Fractional coordinates of all 4 atoms:
W: 0.000 0.500 0.500
Rh: 0.000 0.000 0.000
Rh: 0.500 0.000 0.500
Sb: 0.500 0.500 0.000

## Properties
The crystal system is orthorhombic. The value obtained for the total DFT energy (no corrections) is -43.480 eV per atom. The value obtained for the magnetic moment is 0.000 μB per atom. As for the uncorrected formation energy: 0.57 eV per formula unit. The calculated volume is 62.1 Å³ per cell.

=====

No. 16
Here is a PBEsol-optimized structure of Ta5Sb from the Alexandria database. Energies are from meta-GGA SCAN.

a b c (Å): 3.490 4.571 7.172
angles (deg): 108.58 90.00 90.00
Fractional coordinates of all 6 atoms:
Ta: 0.500 0.328 0.656
Ta: 0.000 0.837 0.674
Ta: 0.500 0.672 0.344
Ta: 0.000 0.163 0.326
Ta: 0.500 0.000 0.000
Sb: 0.000 0.500 0.000

## Properties
The crystal system is orthorhombic. The value obtained for the total DFT energy (no corrections) is -61.767 eV per atom. The value obtained for the magnetic moment is 0.000 μB per atom. As for the uncorrected formation energy: -0.43 eV per formula unit. The calculated volume is 108.4 Å³ per cell.

=====

No. 17
Here is a PBEsol-optimized structure of YBeW from the Alexandria database. Energies are from meta-GGA SCAN.

a b c (Å): 3.247 3.247 5.431
angles (deg): 107.39 107.39 90.00
Fractional coordinates of all 3 atoms:
W: 0.376 0.376 0.751
Be: 0.953 0.953 0.906
Y: 0.671 0.671 0.342

## Properties
The crystal system is tetragonal. The value obtained for the total DFT energy (no corrections) is -33.551 eV per atom. The value obtained for the magnetic moment is 0.000 μB per atom. The calculated volume is 51.9 Å³ per cell. The calculated formation energy comes out at 0.4108 eV/atom.

=====

No. 18
Here is a PBEsol-optimized structure of Y6Pb8OF32 from the Alexandria database. Energies are from meta-GGA SCAN.

a b c (Å): 9.110 9.110 9.110
angles (deg): 73.34 73.34 73.34
Last column: magnetic moment on the atom in μB.
Fractional coordinates of all 47 atoms:
F: 0.258 0.087 0.786  0.00
F: 0.350 0.543 0.265  0.00
F: 0.303 0.785 0.412  0.00
F: 0.735 0.650 0.457  0.00
F: 0.025 0.183 0.452  0.00
Pb: 0.268 0.268 0.268  0.00
F: 0.457 0.735 0.650  0.00
F: 0.495 0.354 0.042  0.00
F: 0.143 0.143 0.143  0.00
F: 0.742 0.913 0.214  0.00
F: 0.087 0.786 0.258  0.00
F: 0.913 0.214 0.742  0.00
Y: 0.391 0.528 0.840  0.00
F: 0.265 0.350 0.543  0.00
F: 0.183 0.452 0.025  0.00
F: 0.646 0.958 0.505  0.00
Y: 0.160 0.609 0.472  0.00
Pb: 0.732 0.732 0.732  0.00
F: 0.505 0.646 0.958  0.00
F: 0.786 0.258 0.087  0.00
F: 0.412 0.303 0.785  0.00
F: 0.857 0.857 0.857  0.00
F: 0.817 0.548 0.975  0.00
F: 0.958 0.505 0.646  0.00
O: 0.000 0.000 0.000  0.09
F: 0.543 0.265 0.350  0.00
F: 0.214 0.742 0.913  0.00
Pb: 0.292 0.906 0.040  0.00
F: 0.975 0.817 0.548  0.00
F: 0.215 0.588 0.697  0.00
F: 0.452 0.025 0.183  0.00
F: 0.354 0.042 0.495  0.00
Pb: 0.906 0.040 0.292  0.00
Pb: 0.960 0.708 0.094  0.00
Pb: 0.094 0.960 0.708  0.00
Y: 0.528 0.840 0.391  0.00
F: 0.697 0.215 0.588  0.00
F: 0.548 0.975 0.817  0.00
Pb: 0.040 0.292 0.906  0.00
F: 0.785 0.412 0.303  0.00
F: 0.650 0.457 0.735  0.00
F: 0.042 0.495 0.354  0.00
Pb: 0.708 0.094 0.960  0.00
Y: 0.840 0.391 0.528  0.00
F: 0.588 0.697 0.215  0.00
Y: 0.609 0.472 0.160  0.00
Y: 0.472 0.160 0.609  0.00

## Properties
The crystal system is trigonal. The value obtained for the total DFT energy (no corrections) is -22.414 eV per atom. The value obtained for the magnetic moment is 0.003 μB per atom. As for the uncorrected formation energy: -160.65 eV per formula unit. The calculated volume is 676.4 Å³ per cell.

=====

No. 19
Here is a PBEsol-optimized structure of K3PSe16 from the Alexandria database. Energies are from meta-GGA SCAN.

a b c (Å): 11.470 11.470 11.470
angles (deg): 60.00 60.00 60.00
Fractional coordinates of all 40 atoms:
Se: 0.570 0.158 0.947
K: 0.125 0.625 0.625
Se: 0.924 0.680 0.303
Se: 0.158 0.326 0.947
Se: 0.829 0.829 0.512
Se: 0.326 0.947 0.158
Se: 0.421 0.738 0.421
P: 0.750 0.750 0.750
Se: 0.158 0.570 0.326
K: 0.250 0.250 0.250
Se: 0.158 0.947 0.570
Se: 0.512 0.829 0.829
Se: 0.924 0.303 0.092
Se: 0.738 0.421 0.421
K: 0.625 0.125 0.625
Se: 0.092 0.303 0.680
Se: 0.092 0.924 0.303
Se: 0.947 0.570 0.158
Se: 0.303 0.924 0.680
K: 0.625 0.625 0.125
Se: 0.570 0.947 0.326
Se: 0.680 0.924 0.092
Se: 0.326 0.158 0.570
Se: 0.421 0.421 0.738
Se: 0.829 0.829 0.829
Se: 0.680 0.303 0.924
Se: 0.326 0.570 0.947
Se: 0.421 0.421 0.421
Se: 0.570 0.326 0.158
K: 0.625 0.625 0.625
K: 0.000 0.000 0.000
Se: 0.303 0.680 0.092
Se: 0.947 0.158 0.326
Se: 0.947 0.326 0.570
Se: 0.924 0.092 0.680
Se: 0.680 0.092 0.303
Se: 0.829 0.512 0.829
P: 0.500 0.500 0.500
Se: 0.303 0.092 0.924
Se: 0.092 0.680 0.924

## Properties
The crystal system is cubic. The value obtained for the total DFT energy (no corrections) is -18.255 eV per atom. The value obtained for the magnetic moment is 0.000 μB per atom. As for the uncorrected formation energy: -8.47 eV per formula unit. The calculated volume is 1067.0 Å³ per cell.

=====

No. 20
Here is a PBEsol-optimized structure of Sr2CrOs from the Alexandria database. Energies are from meta-GGA SCAN.

a b c (Å): 3.347 3.347 9.095
angles (deg): 90.00 90.00 90.00
Last column: magnetic moment on the atom in μB.
Fractional coordinates of all 4 atoms:
Sr: 0.500 0.500 0.323  -0.02
Cr: 0.000 0.000 0.597  -0.77
Sr: 0.000 0.000 0.924  0.07
Os: 0.500 0.500 0.656  0.28

## Properties
The crystal system is tetragonal. The value obtained for the total DFT energy (no corrections) is -33.193 eV per atom. The value obtained for the magnetic moment is 0.083 μB per atom. The calculated volume is 101.9 Å³ per cell. The calculated formation energy comes out at 0.5112 eV/atom.